# 1
La5CeRu4 | PBE | relaxed

Its total energy is -6.968 eV/atom. As for the symmetry: C2/m, No. 12. Its crystal system is monoclinic. For the volume, the calculation gives 27.97 Å³ per atom. The calculation puts the formation energy at -0.201 eV/atom.

Cell lengths 9.191, 9.191, 7.841 Å; angles 105.22, 105.22, 26.01 degrees
Positions (direct):
La (0.000, 0.000, 0.000)
La (0.334, 0.334, 0.648)
La (0.336, 0.336, 0.159)
La (0.664, 0.664, 0.841)
La (0.666, 0.666, 0.352)
Ce (0.000, 0.000, 0.500)
Ru (0.182, 0.182, 0.644)
Ru (0.489, 0.489, 0.731)
Ru (0.511, 0.511, 0.269)
Ru (0.818, 0.818, 0.356)

***

# 2
TiCoBr2 | PBE | relaxed

Its total energy is -4.276 eV/atom. As for the symmetry: Fm-3m, No. 225. Its crystal system is cubic. For the volume, the calculation gives 16.48 Å³ per atom.

Cell lengths 4.534, 4.534, 4.534 Å; angles 60.00, 60.00, 60.00 degrees
Positions (direct):
Ti (0.000, 0.000, 0.000)
Co (0.500, 0.500, 0.500)
Br (0.250, 0.250, 0.250)
Br (0.750, 0.750, 0.750)

***

# 3
K2Rb4HgBi2 | PBE | relaxed

Its total energy is -1.825 eV/atom. As for the symmetry: C2/m, No. 12. Its crystal system is monoclinic. For the volume, the calculation gives 53.02 Å³ per atom. The calculation puts the formation energy at -0.255 eV/atom.

Cell lengths 9.230, 9.230, 5.924 Å; angles 98.13, 98.13, 73.93 degrees
Positions (direct):
K (0.136, 0.136, 0.212)
K (0.864, 0.864, 0.788)
Rb (0.153, 0.578, 0.300)
Rb (0.422, 0.847, 0.700)
Rb (0.578, 0.153, 0.300)
Rb (0.847, 0.422, 0.700)
Hg (0.500, 0.500, 0.000)
Bi (0.304, 0.304, 0.783)
Bi (0.696, 0.696, 0.217)

***

# 4
PaBi2PdN | PBE | relaxed

Its total energy is -6.925 eV/atom. As for the symmetry: P4/nmm, No. 129. Its crystal system is tetragonal. For the volume, the calculation gives 23.78 Å³ per atom.

Cell lengths 3.950, 3.950, 15.245 Å; angles 90.00, 90.00, 90.00 degrees
Positions (direct):
Pa (0.250, 0.250, 0.076)
Pa (0.750, 0.750, 0.924)
Bi (0.250, 0.250, 0.424)
Bi (0.250, 0.250, 0.793)
Bi (0.750, 0.750, 0.207)
Bi (0.750, 0.750, 0.576)
Pd (0.250, 0.250, 0.611)
Pd (0.750, 0.750, 0.389)
N (0.250, 0.750, 0.000)
N (0.750, 0.250, 0.000)